NiAsN2 (GGA-PBE, relaxed); DFT total energy = -6.261 eV per atom; space-group type = R-3m; ρ = 6.3 g/cm³; formation energy from raw total energies = 0.51 eV per atom; magnetic moment = 0.00 μB per atom
1.0
2.920 0.000 0.000
-1.460 2.529 0.000
0.000 0.000 17.366
Ni As N
3 3 6
direct
0.000 0.000 0.000
0.333 0.667 0.667
0.667 0.333 0.333
0.000 0.000 0.500
0.333 0.667 0.167
0.667 0.333 0.833
0.000 0.000 0.106
0.000 0.000 0.894
0.333 0.667 0.560
0.333 0.667 0.773
0.667 0.333 0.227
0.667 0.333 0.440